Cu8Sb | GGA-PBE | optimized geometry

a = 5.901 Å, b = 5.901 Å, c = 5.901 Å
α = 95.97°, β = 95.97°, γ = 142.36°
Sites, in units of the cell vectors:
Cu  0.000  0.342  0.342
Cu  0.000  0.658  0.658
Cu  0.326  0.326  0.652
Cu  0.326  0.674  0.000
Cu  0.342  0.000  0.342
Cu  0.658  0.000  0.658
Cu  0.674  0.326  0.000
Cu  0.674  0.674  0.348
Sb  0.000  0.000  0.000

Its calculated density is 8.8 g cm⁻³. The total DFT energy (no corrections) is -4.0517 eV/atom. As for the total moment: 0.00 μB/f.u.

Nd6HoTh2 | GGA-PBE | optimized geometry

a = 3.621 Å, b = 3.621 Å, c = 27.175 Å
α = 90.00°, β = 90.00°, γ = 120.00°
Sites, in units of the cell vectors:
Nd  0.000  0.000  0.064
Nd  0.000  0.000  0.280
Nd  0.000  0.000  0.720
Nd  0.000  0.000  0.936
Nd  0.333  0.667  0.394
Nd  0.333  0.667  0.606
Ho  0.000  0.000  0.500
Th  0.333  0.667  0.171
Th  0.333  0.667  0.829

Its calculated density is 8.0 g cm⁻³. The total DFT energy (no corrections) is -5.2653 eV/atom. As for the total moment: 0.00 μB/f.u.

NpSe2I4 | GGA-PBE | optimized geometry

a = 9.547 Å, b = 9.547 Å, c = 8.500 Å
α = 92.87°, β = 92.87°, γ = 25.13°
Sites, in units of the cell vectors:
Np  0.000  0.000  0.000
Se  0.248  0.248  0.426
Se  0.752  0.752  0.574
I  0.148  0.148  0.907
I  0.461  0.461  0.745
I  0.539  0.539  0.255
I  0.852  0.852  0.093

Its calculated density is 4.6 g cm⁻³. The total DFT energy (no corrections) is -4.1677 eV/atom. As for the total moment: 3.15 μB/f.u.

Mg2FeHg | GGA-PBE | optimized geometry

a = 5.003 Å, b = 5.003 Å, c = 3.044 Å
α = 90.00°, β = 90.00°, γ = 106.48°
Sites, in units of the cell vectors:
Mg  0.000  0.500  0.000
Mg  0.500  0.000  0.000
Fe  0.000  0.000  0.500
Hg  0.500  0.500  0.500

Its calculated density is 6.9 g cm⁻³. The total DFT energy (no corrections) is -2.8540 eV/atom. As for the total moment: 2.25 μB/f.u.